(1)
A relaxed structure of Th2Zn4Ga3Hg, computed with PBE-GGA.

Geometry as POSCAR:
```
Th2Zn4Ga3Hg
1.0
-3.714 1.159 -1.799
-2.045 -0.860 3.667
1.586 10.150 3.265
Zn Th Ga Hg
4 2 3 1
Direct
0.000 0.000 0.000 Zn
0.500 0.000 0.643 Zn
0.000 0.500 0.357 Zn
0.500 0.500 0.000 Zn
0.000 0.500 0.756 Th
0.500 0.000 0.244 Th
0.000 0.000 0.500 Ga
0.500 0.000 0.868 Ga
0.000 0.500 0.132 Ga
0.500 0.500 0.500 Hg
```

## Properties
The calculation puts the formation energy from the elements at -0.358 eV/atom. Its calculated total energy is -32.896 eV per formula unit. The calculation puts the volume at 19.8 Å³/atom.

=====

(2)
A relaxed structure of TbZnAu, computed with PBE-GGA.

Geometry as POSCAR:
```
TbZnAu
1.0
4.232 0.000 0.335
0.000 4.247 0.000
-0.566 0.000 7.126
Au Tb Zn
2 2 2
Direct
0.750 0.250 0.252 Au
0.250 0.750 0.748 Au
0.750 0.250 0.833 Tb
0.250 0.750 0.167 Tb
0.750 0.750 0.500 Zn
0.250 0.250 0.500 Zn
```

## Properties
The calculation puts the formation energy from the elements at -0.640 eV/atom. Its calculated total energy is -11.101 eV per formula unit. The calculation puts the volume at 21.5 Å³/atom.

=====

(3)
A relaxed structure of TaCrSb2Ru, computed with PBE-GGA.

Geometry as POSCAR:
```
TaCrSb2Ru
1.0
5.048 0.000 0.000
0.000 4.512 0.000
0.000 0.000 5.048
Sb Cr Ru Ta
2 1 1 1
Direct
0.000 0.000 0.500 Sb
0.500 0.000 0.000 Sb
0.000 0.500 0.000 Cr
0.000 0.000 0.000 Ru
0.500 0.500 0.500 Ta
```

## Properties
As for the uncorrected formation energy: 1.136 eV/atom. Its calculated total energy is -33.316 eV per formula unit. The calculation puts the volume at 23.0 Å³/atom.